PmAl2Pt3 | the Alexandria database | GGA-PBE | relaxed; relative energy among the computed polymorphs = 0.00 eV/f.u.; volume = 18.22 Å³ per atom
1.0
-2.7838 0.0774 2.9999
5.1006 -6.5417 2.1094
4.3010 8.2919 3.7772
Pt Pm Al
9 3 6
Cartesian
0.3036 0.0953 3.0719
4.8445 -0.4073 7.2987
3.9704 5.7043 6.3298
2.6474 -3.8767 2.5568
3.3047 0.3593 3.0574
1.7733 2.2349 1.5879
3.3131 1.4682 5.8292
6.3142 1.7323 5.8147
0.7586 4.1847 3.3886
4.2096 3.7296 3.8102
2.4082 -1.9021 5.0764
0.0000 0.0000 0.0000
5.0572 -0.0971 4.6954
4.4381 -4.1776 4.2263
2.1796 6.0052 4.6603
4.6304 3.3689 7.0026
1.9874 -1.5413 1.8840
1.5606 1.9247 4.1911